# 1
Ta5Nb4Os: optimized geometry, PBE-GGA.

DFT formation energy, eV/f.u.: -1.12
Total DFT energy (no corrections), eV/atom: -11.189
Polymorph energy (0 for the lowest one), eV per formula unit: 0.00

Cell: 3.269 3.269 16.611 Å, 90.00 90.00 90.00°
Element x y z (fractional)
Ta (0.500, 0.500, 0.095)
Ta (0.500, 0.500, 0.296)
Ta (0.500, 0.500, 0.500)
Ta (0.500, 0.500, 0.704)
Ta (0.500, 0.500, 0.905)
Nb (0.000, 0.000, 0.197)
Nb (0.000, 0.000, 0.399)
Nb (0.000, 0.000, 0.601)
Nb (0.000, 0.000, 0.803)
Os (0.000, 0.000, 0.000)

=====

# 2
PrNd2Zr: optimized geometry, PBE-GGA.

DFT formation energy, eV/f.u.: 0.50
Total DFT energy (no corrections), eV/atom: -5.590
Polymorph energy (0 for the lowest one), eV per formula unit: 0.00

Cell: 3.538 3.538 11.844 Å, 81.41 81.41 60.00°
Element x y z (fractional)
Pr (0.499, 0.499, 0.503)
Nd (0.077, 0.077, 0.770)
Nd (0.257, 0.257, 0.229)
Zr (0.667, 0.667, 0.999)

=====

# 3
Mg3CrAu12: optimized geometry, PBE-GGA.

DFT formation energy, eV/f.u.: -4.39
Total DFT energy (no corrections), eV/atom: -3.633

Cell: 4.165 4.165 16.376 Å, 90.00 90.00 90.00°
Site moments in Bohr magnetons follow the coordinates.
Element x y z (fractional)
Mg (0.000, 0.000, 0.248)  0.00
Mg (0.000, 0.000, 0.500)  0.00
Mg (0.000, 0.000, 0.752)  0.00
Cr (0.000, 0.000, 0.000)  3.72
Au (0.500, 0.500, 0.000)  0.06
Au (0.500, 0.500, 0.249)  0.01
Au (0.500, 0.500, 0.500)  0.00
Au (0.500, 0.500, 0.751)  0.01
Au (0.500, 0.000, 0.124)  0.05
Au (0.500, 0.000, 0.375)  0.00
Au (0.500, 0.000, 0.625)  0.00
Au (0.500, 0.000, 0.876)  0.05
Au (0.000, 0.500, 0.124)  0.05
Au (0.000, 0.500, 0.375)  0.00
Au (0.000, 0.500, 0.625)  0.00
Au (0.000, 0.500, 0.876)  0.05

=====

# 4
KReRh: optimized geometry, PBE-GGA.

DFT formation energy, eV/f.u.: 2.07
Total DFT energy (no corrections), eV/atom: -6.276
Polymorph energy (0 for the lowest one), eV per formula unit: 0.00

Cell: 6.660 6.660 6.660 Å, 156.36 145.36 42.37°
Element x y z (fractional)
K (0.002, 0.002, 0.000)
Re (0.284, 0.284, 0.000)
Rh (0.714, 0.714, 0.000)

=====

# 5
Tl2SbPb: optimized geometry, PBE-GGA.

Energy relative to the elements, uncorrected, meV/atom: -3
Total DFT energy (no corrections), eV/atom: -3.144
Polymorph energy (0 for the lowest one), eV per formula unit: 0.00

Cell: 5.021 6.916 7.337 Å, 99.16 90.00 90.00°
Element x y z (fractional)
Tl (0.250, 0.398, 0.121)
Tl (0.750, 0.602, 0.879)
Tl (0.750, 0.098, 0.852)
Tl (0.250, 0.902, 0.148)
Sb (0.750, 0.206, 0.339)
Sb (0.250, 0.794, 0.661)
Pb (0.250, 0.308, 0.609)
Pb (0.750, 0.692, 0.391)